Record 1
# GGA-PBE GaBAs2, optimized geometry
# **DFT total energy**: -19.357 eV/f.u.
# **ΔE to the lowest computed polymorph**: 0 meV/atom
# **Formation enthalpy at 0 K**: -8.5 kJ per mole of atoms
# **DOS(E_F)**: 0.00 states/eV/f.u.
# **Symmetry**: I-42d, No. 122
# **Total magnetization**: 0.000 μB/f.u.
data_GaBAs2
_space_group_name_H-M_alt 'P 1'
_space_group_IT_number 1
_space_group_name_Hall 'P 1'
_cell_length_a 5.3242
_cell_length_b 5.3242
_cell_length_c 6.3755
_cell_angle_alpha 65.32
_cell_angle_beta 65.32
_cell_angle_gamma 90.00
loop_
_atom_site_label
_atom_site_fract_x
_atom_site_fract_y
_atom_site_fract_z
_atom_site_occupancy
As1 0.8750 0.8209 0.7500 1
As2 0.3750 0.4291 0.7500 1
As3 0.1791 0.6250 0.2500 1
As4 0.5709 0.1250 0.2500 1
Ga1 0.7500 0.2500 0.5000 1
Ga2 0.0000 0.0000 0.0000 1
B1 0.2500 0.7500 0.5000 1
B2 0.5000 0.5000 0.0000 1

---

Record 2
# GGA-PBE TaTlS2, optimized geometry
# **DFT total energy**: -21.783 eV/f.u.
# **Energy relative to the elements, uncorrected**: 0.17 eV/atom
# **DOS(E_F)**: 2.67 states/eV/f.u.
# **Symmetry**: Fm-3m, No. 225
# **Total magnetization**: 1.164 μB/f.u.
data_TaTlS2
_space_group_name_H-M_alt 'P 1'
_space_group_IT_number 1
_space_group_name_Hall 'P 1'
_cell_length_a 4.6996
_cell_length_b 4.6996
_cell_length_c 4.6996
_cell_angle_alpha 60.00
_cell_angle_beta 60.00
_cell_angle_gamma 60.00
loop_
_atom_site_label
_atom_site_fract_x
_atom_site_fract_y
_atom_site_fract_z
_atom_site_occupancy
Ta1 0.0000 0.0000 0.0000 1
S1 0.7500 0.7500 0.7500 1
S2 0.2500 0.2500 0.2500 1
Tl1 0.5000 0.5000 0.5000 1

---

Question: DFT total energy of number 2 (TaTlS2)?
Answer: -21.783 eV/f.u.

---

Question: The highest DFT total energy belongs to which entry?
Answer: GaBAs2